No. 1
First-principles (GGA-PBE) data for a relaxed MgMn2Fe crystal, as listed in the Alexandria database.

Properties
* ρ: 6.350 g/cm³
* total DFT energy (no corrections): -27.0 eV/f.u.

CIF file:
```
data_MgMn2Fe
_chemical_formula_sum 'Mg1 Mn2 Fe1'
_symmetry_space_group_name_H-M 'P 1'
_symmetry_Int_Tables_number 1
_cell_length_a 4.971
_cell_length_b 4.971
_cell_length_c 4.971
_cell_angle_alpha 147.88
_cell_angle_beta 129.86
_cell_angle_gamma 60.80
loop_
_symmetry_equiv_pos_as_xyz
'x,y,z'
loop_
_atom_site_label
_atom_site_fract_x
_atom_site_fract_y
_atom_site_fract_z
_atom_site_occupancy
Mn1 0.978 0.978 0.000 1
Mn2 0.522 0.522 0.000 1
Mg1 0.250 0.750 0.500 1
Fe1 0.750 0.250 0.500 1
```

---

No. 2
First-principles (GGA-PBE) data for a relaxed MgMnFe2 crystal, as listed in the Alexandria database.

Properties
* ρ: 6.161 g/cm³
* total DFT energy (no corrections): -26.6 eV/f.u.

CIF file:
```
data_MgMnFe2
_chemical_formula_sum 'Mg1 Mn1 Fe2'
_symmetry_space_group_name_H-M 'P 1'
_symmetry_Int_Tables_number 1
_cell_length_a 2.603
_cell_length_b 2.603
_cell_length_c 7.597
_cell_angle_alpha 90.00
_cell_angle_beta 90.00
_cell_angle_gamma 89.91
loop_
_symmetry_equiv_pos_as_xyz
'x,y,z'
loop_
_atom_site_label
_atom_site_fract_x
_atom_site_fract_y
_atom_site_fract_z
_atom_site_occupancy
Mn1 0.500 0.500 0.784 1
Mg1 0.000 0.000 0.494 1
Fe1 0.000 0.000 0.003 1
Fe2 0.500 0.500 0.219 1
```

---

No. 3
First-principles (GGA-PBE) data for a relaxed MgMn2Fe crystal, as listed in the Alexandria database.

Properties
* ρ: 5.977 g/cm³
* total DFT energy (no corrections): -27.0 eV/f.u.

CIF file:
```
data_MgMn2Fe
_chemical_formula_sum 'Mg1 Mn2 Fe1'
_symmetry_space_group_name_H-M 'P 1'
_symmetry_Int_Tables_number 1
_cell_length_a 2.643
_cell_length_b 3.584
_cell_length_c 5.574
_cell_angle_alpha 90.00
_cell_angle_beta 90.00
_cell_angle_gamma 90.00
loop_
_symmetry_equiv_pos_as_xyz
'x,y,z'
loop_
_atom_site_label
_atom_site_fract_x
_atom_site_fract_y
_atom_site_fract_z
_atom_site_occupancy
Mn1 0.000 0.000 0.033 1
Fe1 0.500 0.500 0.250 1
Mn2 0.000 0.000 0.467 1
Mg1 0.500 0.500 0.750 1
```

---

No. 4
First-principles (GGA-PBE) data for a relaxed MgMn2Fe2 crystal, as listed in the Alexandria database.

Properties
* energy above the most stable polymorph in this dataset: 0 meV per atom
* ρ: 6.754 g/cm³
* total DFT energy (no corrections): -35.7 eV/f.u.

CIF file:
```
data_MgMn2Fe2
_chemical_formula_sum 'Mg2 Mn4 Fe4'
_symmetry_space_group_name_H-M 'P 1'
_symmetry_Int_Tables_number 1
_cell_length_a 6.931
_cell_length_b 6.931
_cell_length_c 2.516
_cell_angle_alpha 90.00
_cell_angle_beta 90.00
_cell_angle_gamma 90.00
loop_
_symmetry_equiv_pos_as_xyz
'x,y,z'
loop_
_atom_site_label
_atom_site_fract_x
_atom_site_fract_y
_atom_site_fract_z
_atom_site_occupancy
Mg1 0.500 0.500 0.000 1
Mg2 0.000 0.000 0.000 1
Fe1 0.667 0.833 0.500 1
Mn1 0.881 0.619 0.000 1
Mn2 0.619 0.119 0.000 1
Fe2 0.167 0.667 0.500 1
Mn3 0.119 0.381 0.000 1
Fe3 0.833 0.333 0.500 1
Fe4 0.333 0.167 0.500 1
Mn4 0.381 0.881 0.000 1
```

---

No. 5
First-principles (GGA-PBE) data for a relaxed MgMnFe crystal, as listed in the Alexandria database.

Properties
* energy above the most stable polymorph in this dataset: 0 meV per atom
* ρ: 5.661 g/cm³
* total DFT energy (no corrections): -18.5 eV/f.u.

CIF file:
```
data_MgMnFe
_chemical_formula_sum 'Mg1 Mn1 Fe1'
_symmetry_space_group_name_H-M 'P 1'
_symmetry_Int_Tables_number 1
_cell_length_a 5.454
_cell_length_b 5.454
_cell_length_c 2.792
_cell_angle_alpha 75.17
_cell_angle_beta 75.17
_cell_angle_gamma 29.66
loop_
_symmetry_equiv_pos_as_xyz
'x,y,z'
loop_
_atom_site_label
_atom_site_fract_x
_atom_site_fract_y
_atom_site_fract_z
_atom_site_occupancy
Fe1 0.025 0.025 0.975 1
Mg1 0.334 0.334 0.666 1
Mn1 0.640 0.640 0.360 1
```

---

No. 6
First-principles (GGA-PBE) data for a relaxed MgMn2Fe crystal, as listed in the Alexandria database.

Properties
* ρ: 5.454 g/cm³
* total DFT energy (no corrections): -25.8 eV/f.u.

CIF file:
```
data_MgMn2Fe
_chemical_formula_sum 'Mg2 Mn4 Fe2'
_symmetry_space_group_name_H-M 'P 1'
_symmetry_Int_Tables_number 1
_cell_length_a 6.727
_cell_length_b 6.727
_cell_length_c 5.400
_cell_angle_alpha 51.48
_cell_angle_beta 51.48
_cell_angle_gamma 90.00
loop_
_symmetry_equiv_pos_as_xyz
'x,y,z'
loop_
_atom_site_label
_atom_site_fract_x
_atom_site_fract_y
_atom_site_fract_z
_atom_site_occupancy
Mn1 0.375 0.316 0.750 1
Mn2 0.066 0.625 0.250 1
Fe1 0.750 0.250 0.500 1
Mg1 0.500 0.500 0.000 1
Fe2 0.000 0.000 0.000 1
Mn3 0.684 0.125 0.250 1
Mn4 0.875 0.934 0.750 1
Mg2 0.250 0.750 0.500 1
```

---

no.,total magnetization (μB/cell)
1,3.66
2,3.10
3,2.82
4,0.00
5,1.29
6,7.48